Material: LiFe4Rh
Method: DFT, PBE
State: relaxed

**Uncorrected energy**: -170.0 eV/cell
**Spin magnetization**: 39.1 μB/cell
**Calculated density**: 7.345 Mg/m³
**Density of states at the Fermi level**: 0.46 states/eV/atom
**Formation enthalpy at 0 K**: 0.62 eV per formula unit

Cell: 6.704 6.704 6.704 Å, 90.00 90.00 90.00°
Space group F-43m (No. 216)
One atom of each set of equivalent atoms:
Li 0.000 0.000 0.000 (multiplicity 4)
Fe 0.126 0.126 0.374 (multiplicity 16)
Rh 0.250 0.250 0.750 (multiplicity 4)